{"formula": "Ba2SmMnO6", "functional": "PBE+U", "state": "relaxed", "lattice": [[-4.124, -3.166, 2.963], [1.502, -2.939, 4.991], [-1.991, 1.909, 5.310]], "species": ["Sm", "O", "O", "O", "O", "Mn", "O", "Ba", "O", "Ba"], "fractional_positions": [[0.500, 0.500, 0.500], [0.229, 0.771, 0.229], [0.229, 0.771, 0.771], [0.771, 0.229, 0.771], [0.229, 0.229, 0.771], [0.000, 0.000, 0.000], [0.771, 0.771, 0.229], [0.750, 0.750, 0.750], [0.771, 0.229, 0.229], [0.250, 0.250, 0.250]], "dos_at_fermi_per_ev_atom": 0.4935, "m_tot_mub_per_cell": 2.0, "e_tot_ev_per_cell": -69.5, "spacegroup": "No. 225"}